First-principles (PBE-GGA) data for crystalline Pu3CoTe at its relaxed geometry, as listed in the Alexandria database.

## Properties
Formation energy from raw total energies   -0.186 eV per atom
DOS at the Fermi energy   25.192 states/eV per cell
Total moment   17.11 Bohr magnetons per cell

The structure in POSCAR format:
```
Pu3CoTe
1.0
-2.626 -3.885 1.989
0.276 -2.465 -4.449
4.356 -2.186 1.482
Te Pu Co
1 3 1
Direct
0.500 0.500 0.500 Te
0.000 0.500 0.000 Pu
0.000 0.000 0.500 Pu
0.500 0.000 0.000 Pu
0.000 0.000 0.000 Co
```